# 1
Density functional theory data (GGA-PBE) for NaV2InW after structural relaxation.

Lattice parameters (Å, degrees): 4.654 5.412 4.654 90.00 90.00 90.00
Element x y z (fractional)
V 0.000 0.000 0.500
V 0.500 0.000 0.000
W 0.000 0.000 0.000
Na 0.000 0.500 0.000
In 0.500 0.500 0.500

Calculated values
VASP energy (eV/cell): -28.4
Formation energy from the elements (eV/f.u.): 6.8
DOS(E_F) (states/eV per cell): 9.323

---

# 2
Density functional theory data (GGA-PBE) for TbPm2Pb after structural relaxation.

Lattice parameters (Å, degrees): 4.977 4.911 4.911 90.00 90.00 90.00
Element x y z (fractional)
Tb 0.500 0.500 0.500
Pm 0.000 0.000 0.500
Pm 0.000 0.500 0.000
Pb 0.500 0.000 0.000

Calculated values
Energy above the most stable polymorph in this dataset (meV/atom): 0.0
VASP energy (eV/cell): -19.1
Formation energy from the elements (eV/f.u.): -1.3
DOS(E_F) (states/eV per cell): 4.706

---

Q: formation energy from the elements of number 1 (NaV2InW)?
A: 6.8 eV/f.u.

---

Q: Which formula does entry 1 have?
A: NaV2InW

---

Q: What is the formation energy from the elements in the first record?
A: 6.8 eV/f.u.